(1)
Material: Th2CdIn3
Method: DFT, PBE
State: optimized geometry

Structure (CIF):
```
data_Th2CdIn3
_cell_length_a 10.072
_cell_length_b 9.464
_cell_length_c 6.228
_cell_angle_alpha 76.80
_cell_angle_beta 66.19
_cell_angle_gamma 37.01
_symmetry_space_group_name_H-M 'P 1'
_symmetry_Int_Tables_number 1
_symmetry_space_group_name_Hall 'P 1'
loop_
_atom_site_label
_atom_site_type_symbol
_atom_site_fract_x
_atom_site_fract_y
_atom_site_fract_z
Th1 Th 0.248 0.752 0.752
Th2 Th 0.250 0.250 0.250
Th3 Th 0.750 0.750 0.750
Th4 Th 0.752 0.248 0.248
Cd1 Cd 0.333 0.333 0.667
Cd2 Cd 0.667 0.667 0.333
In1 In 0.168 0.168 0.832
In2 In 0.169 0.664 0.336
In3 In 0.336 0.831 0.169
In4 In 0.664 0.169 0.831
In5 In 0.831 0.336 0.664
In6 In 0.832 0.832 0.168
```

## Properties
**Space-group type**: Fmmm, No. 69
**E_form**: -0.28 eV/atom
**Total moment**: 0.0 μB/cell


(2)
Material: ThCdIn2
Method: DFT, PBE
State: optimized geometry

Structure (CIF):
```
data_ThCdIn2
_cell_length_a 6.067
_cell_length_b 6.067
_cell_length_c 6.067
_cell_angle_alpha 46.59
_cell_angle_beta 46.59
_cell_angle_gamma 46.59
_symmetry_space_group_name_H-M 'P 1'
_symmetry_Int_Tables_number 1
_symmetry_space_group_name_Hall 'P 1'
loop_
_atom_site_label
_atom_site_type_symbol
_atom_site_fract_x
_atom_site_fract_y
_atom_site_fract_z
Th1 Th 0.000 0.000 0.000
Cd1 Cd 0.500 0.500 0.500
In1 In 0.229 0.229 0.229
In2 In 0.771 0.771 0.771
```

## Properties
**Space-group type**: R-3m, No. 166
**E_form**: -0.11 eV/atom
**Total moment**: 0.0 μB/cell


(3)
Material: ThCdIn2
Method: DFT, PBE
State: optimized geometry

Structure (CIF):
```
data_ThCdIn2
_cell_length_a 4.751
_cell_length_b 4.751
_cell_length_c 4.667
_cell_angle_alpha 90.00
_cell_angle_beta 90.00
_cell_angle_gamma 90.00
_symmetry_space_group_name_H-M 'P 1'
_symmetry_Int_Tables_number 1
_symmetry_space_group_name_Hall 'P 1'
loop_
_atom_site_label
_atom_site_type_symbol
_atom_site_fract_x
_atom_site_fract_y
_atom_site_fract_z
Th1 Th 0.000 0.000 0.000
Cd1 Cd 0.500 0.500 0.000
In1 In 0.000 0.500 0.500
In2 In 0.500 0.000 0.500
```

## Properties
**Space-group type**: P4/mmm, No. 123
**E_form**: -0.30 eV/atom
**Total moment**: 0.0 μB/cell


Number 1: raw total energy -4.27 eV per atom. Number 2: raw total energy -3.56 eV per atom. Number 3: raw total energy -3.75 eV per atom.